(1)
Compound: BaLaTlZn
Source: the Alexandria database
Functional: PBE
Structure: relaxed

Geometry as POSCAR:
```
BaLaTlZn
1.0
0.000 4.041 4.041
4.041 0.000 4.041
4.041 4.041 0.000
Ba La Tl Zn
1 1 1 1
direct
0.000 0.000 0.000
0.500 0.500 0.500
0.750 0.750 0.750
0.250 0.250 0.250
```

Its total energy is -2.869 eV/atom. The density of states at the Fermi level comes out at 3.5 states/eV per cell. The symmetry is No. 216.



(2)
Compound: Ac4PrSm3S8
Source: the Alexandria database
Functional: PBE
Structure: relaxed

Geometry as POSCAR:
```
Ac4PrSm3S8
1.0
4.157 2.400 6.852
-4.157 2.400 6.852
0.000 -4.800 6.852
Ac Pr Sm S
4 1 3 8
direct
0.000 0.000 0.000
0.000 0.500 0.500
0.500 0.000 0.500
0.500 0.500 0.000
0.500 0.500 0.500
0.000 0.000 0.500
0.000 0.500 0.000
0.500 0.000 0.000
0.240 0.746 0.746
0.243 0.243 0.243
0.254 0.254 0.760
0.254 0.760 0.254
0.746 0.240 0.746
0.746 0.746 0.240
0.757 0.757 0.757
0.760 0.254 0.254
```

The density of states at the Fermi level comes out at 7.7 states/eV per cell. The symmetry is No. 166. The value obtained for the uncorrected formation energy is -2.00 eV/atom.



(3)
Compound: Ho4PS2
Source: the Alexandria database
Functional: PBE
Structure: relaxed

Geometry as POSCAR:
```
Ho4PS2
1.0
7.263 -1.931 0.000
7.263 1.931 0.000
-2.932 0.000 5.893
Ho P S
4 1 2
direct
0.122 0.122 0.455
0.376 0.376 0.037
0.624 0.624 0.963
0.878 0.878 0.545
0.000 0.000 0.000
0.257 0.257 0.261
0.743 0.743 0.739
```

The density of states at the Fermi level comes out at 3.5 states/eV per cell. The symmetry is No. 12. The value obtained for the uncorrected formation energy is -1.53 eV/atom.



(4)
Compound: TlCdCl5
Source: the Alexandria database
Functional: PBE
Structure: relaxed

Geometry as POSCAR:
```
TlCdCl5
1.0
7.333 0.000 0.000
-0.173 7.331 0.000
-3.205 -3.282 8.631
Tl Cd Cl
2 2 10
direct
0.119 0.381 0.250
0.881 0.619 0.750
0.500 0.000 0.000
0.500 0.000 0.500
0.164 0.746 0.343
0.210 0.232 0.021
0.246 0.664 0.843
0.269 0.290 0.479
0.430 0.071 0.750
0.570 0.929 0.250
0.731 0.710 0.521
0.754 0.336 0.157
0.790 0.768 0.979
0.836 0.254 0.657
```

The symmetry is No. 2. The value obtained for the uncorrected formation energy is -0.79 eV/atom.



(5)
Compound: Dy2Ho3Tm6Mg
Source: the Alexandria database
Functional: PBE
Structure: relaxed

Geometry as POSCAR:
```
Dy2Ho3Tm6Mg
1.0
3.019 -5.231 0.000
3.019 5.231 0.000
-2.028 0.000 11.384
Dy Ho Tm Mg
2 3 6 1
direct
0.166 0.834 0.000
0.834 0.166 0.000
0.000 0.000 0.500
0.334 0.666 0.500
0.666 0.334 0.500
0.085 0.418 0.751
0.249 0.249 0.250
0.418 0.085 0.751
0.582 0.915 0.249
0.751 0.751 0.750
0.915 0.582 0.249
0.500 0.500 0.000
```

Its total energy is -4.247 eV/atom. The density of states at the Fermi level comes out at 17.8 states/eV per cell. The symmetry is No. 12.



(6)
Compound: RbHg3Sb
Source: the Alexandria database
Functional: PBE
Structure: relaxed

Geometry as POSCAR:
```
RbHg3Sb
1.0
5.804 0.000 0.000
-2.891 6.451 0.000
-0.005 -3.074 9.055
Rb Hg Sb
2 6 2
direct
0.098 0.197 0.354
0.902 0.803 0.646
0.154 0.308 0.000
0.250 0.499 0.745
0.462 0.923 0.120
0.538 0.077 0.880
0.750 0.501 0.255
0.846 0.692 0.000
0.399 0.797 0.376
0.601 0.203 0.624
```

The density of states at the Fermi level comes out at 1.4 states/eV per cell. The symmetry is No. 2. The value obtained for the uncorrected formation energy is -0.18 eV/atom.



(7)
Compound: Pm2SeF3
Source: the Alexandria database
Functional: PBE
Structure: relaxed

Geometry as POSCAR:
```
Pm2SeF3
1.0
7.581 -1.950 0.000
7.581 1.950 0.000
-3.468 0.000 7.177
Pm Se F
4 2 6
direct
0.022 0.022 0.224
0.293 0.293 0.304
0.707 0.707 0.696
0.978 0.978 0.776
0.368 0.368 0.936
0.632 0.632 0.064
0.117 0.117 0.709
0.192 0.192 0.472
0.439 0.439 0.583
0.561 0.561 0.417
0.808 0.808 0.528
0.883 0.883 0.291
```

The density of states at the Fermi level comes out at 3.2 states/eV per cell. The symmetry is No. 12. The value obtained for the uncorrected formation energy is -3.17 eV/atom.



(8)
Compound: USIF
Source: the Alexandria database
Functional: PBE
Structure: relaxed

Geometry as POSCAR:
```
USIF
1.0
2.040 1.178 7.657
-2.040 1.178 7.657
0.000 -2.355 7.657
U S I F
1 1 1 1
direct
0.000 0.000 0.000
0.397 0.397 0.397
0.230 0.230 0.230
0.654 0.654 0.654
```

The density of states at the Fermi level comes out at 6.8 states/eV per cell. The symmetry is No. 160. The value obtained for the uncorrected formation energy is -1.81 eV/atom.